(1)
# ScOs2Pt (PBE, relaxed)
# Calculated volume in Å³/atom: 15.6
# Density in g/cm³: 16.551
# E_form in eV per atom: -0.10
data_ScOs2Pt
_space_group_name_H-M_alt 'P 1'
_space_group_IT_number 1
_cell_length_a 5.547
_cell_length_b 7.940
_cell_length_c 2.827
_cell_angle_alpha 90.00
_cell_angle_beta 90.00
_cell_angle_gamma 90.00
loop_
_space_group_symop_operation_xyz
'x,y,z'
loop_
_atom_site_label
_atom_site_fract_x
_atom_site_fract_y
_atom_site_fract_z
Sc1 0.000 0.000 0.000
Sc2 0.500 0.500 0.000
Os1 0.250 0.250 0.500
Os2 0.250 0.750 0.500
Os3 0.750 0.250 0.500
Os4 0.750 0.750 0.500
Pt1 0.000 0.500 0.000
Pt2 0.500 0.000 0.000



(2)
# ScOsPt (PBE, relaxed)
# Energy relative to the lowest polymorph listed for this composition in meV/atom: 68.6
# Calculated volume in Å³/atom: 16.4
# Density in g/cm³: 14.534
# E_form in eV per atom: -0.24
data_ScOsPt
_space_group_name_H-M_alt 'P 1'
_space_group_IT_number 1
_cell_length_a 2.779
_cell_length_b 4.021
_cell_length_c 8.800
_cell_angle_alpha 90.00
_cell_angle_beta 90.00
_cell_angle_gamma 90.00
loop_
_space_group_symop_operation_xyz
'x,y,z'
loop_
_atom_site_label
_atom_site_fract_x
_atom_site_fract_y
_atom_site_fract_z
Sc1 0.000 0.000 0.000
Sc2 0.500 0.500 0.500
Os1 0.000 0.000 0.665
Os2 0.500 0.500 0.165
Pt1 0.000 0.000 0.327
Pt2 0.500 0.500 0.827